1.
The following is a DFT calculation (GGA-PBE) of a relaxed NdThSnPb crystal.

```
4
Lattice="0.000 3.915 3.915 3.915 0.000 3.915 3.915 3.915 0.000" Properties=species:S:1:pos:R:3 pbc="T T T"
Nd 0.000 0.000 0.000
Th 3.915 3.915 3.915
Sn 5.872 5.872 5.872
Pb 1.957 1.957 1.957
```

Calculated values
SG: F-43m
Total DFT energy (no corrections) in eV for the cell shown: -21.396
Formation energy in eV per formula unit: -1.5
Spin magnetization in μB per cell: 0.0

=====

2.
The following is a DFT calculation (GGA-PBE) of a relaxed NdTlSnPb crystal.

```
4
Lattice="4.773 0.000 0.000 0.000 4.829 0.000 0.000 0.000 4.939" Properties=species:S:1:pos:R:3 pbc="T T T"
Nd 0.000 0.000 0.000
Tl 2.386 2.414 0.000
Sn 2.386 0.000 2.470
Pb 0.000 2.414 2.470
```

Calculated values
SG: Pmmm
Total DFT energy (no corrections) in eV for the cell shown: -16.474
Formation energy in eV per formula unit: -1.6
Spin magnetization in μB per cell: 0.0